The following is a PBE-GGA calculation of a geometry-optimized BiTe2PtO structure, from Alexandria via LeMat-Bulk.

a b c (Å): 6.016 6.016 5.100
angles (deg): 90.00 90.00 90.00
Sites, in units of the cell vectors:
Bi1 0.000 0.000 0.000
Te1 0.000 0.500 0.000
Te2 0.500 0.000 0.000
Pt1 0.000 0.000 0.500
O1 0.500 0.500 0.500

Density: 6.076 g cm⁻³
Formation energy (no corrections): 1254 meV/atom
V: 36.9 Å³/atom
Density of states at the Fermi level: 6.95 states/eV/f.u.

The following is a PBE-GGA calculation of a geometry-optimized Tl2BiPtO8 structure, from Alexandria via LeMat-Bulk.

a b c (Å): 4.994 6.660 5.105
angles (deg): 90.00 92.98 90.00
Sites, in units of the cell vectors:
Tl1 0.000 0.243 0.000
Tl2 0.000 0.757 0.000
Bi1 0.500 0.500 0.500
Pt1 0.500 0.000 0.500
O1 0.232 0.500 0.161
O2 0.262 0.000 0.175
O3 0.290 0.231 0.641
O4 0.290 0.769 0.641
O5 0.710 0.231 0.359
O6 0.710 0.769 0.359
O7 0.738 0.000 0.825
O8 0.768 0.500 0.839

Density: 9.213 g cm⁻³
Formation energy (no corrections): -573 meV/atom
V: 14.1 Å³/atom
Density of states at the Fermi level: 6.03 states/eV/f.u.

The following is a PBE-GGA calculation of a geometry-optimized TlBi2PtO8 structure, from Alexandria via LeMat-Bulk.

a b c (Å): 4.937 6.940 4.957
angles (deg): 90.00 90.32 90.00
Sites, in units of the cell vectors:
Tl1 0.000 0.000 0.000
Bi1 0.500 0.257 0.500
Bi2 0.500 0.743 0.500
Pt1 0.000 0.500 0.000
O1 0.215 0.276 0.153
O2 0.215 0.724 0.153
O3 0.252 0.500 0.680
O4 0.297 0.000 0.664
O5 0.703 0.000 0.336
O6 0.748 0.500 0.320
O7 0.785 0.276 0.847
O8 0.785 0.724 0.847

Density: 9.244 g cm⁻³
Formation energy (no corrections): -721 meV/atom
V: 14.2 Å³/atom
Density of states at the Fermi level: 3.42 states/eV/f.u.

- density of number 1 (BiTe2PtO)?
  6.076 g cm⁻³

- Look up the V of the first one.
  36.9 Å³/atom

- Look up the V of the second one.
  14.1 Å³/atom

Please write out number 1 again, unchanged.
The following is a PBE-GGA calculation of a geometry-optimized BiTe2PtO structure, from Alexandria via LeMat-Bulk.

a b c (Å): 6.016 6.016 5.100
angles (deg): 90.00 90.00 90.00
Sites, in units of the cell vectors:
Bi1 0.000 0.000 0.000
Te1 0.000 0.500 0.000
Te2 0.500 0.000 0.000
Pt1 0.000 0.000 0.500
O1 0.500 0.500 0.500

Density: 6.076 g cm⁻³
Formation energy (no corrections): 1254 meV/atom
V: 36.9 Å³/atom
Density of states at the Fermi level: 6.95 states/eV/f.u.